[1]
A relaxed Cs3TbTm2Te6 crystal. Source: Alexandria, functional PBE.

abc: 7.8467 13.5915 9.2882
angles: 90.00 106.36 90.00
Last column: nearest neighbours and their distance in Å.
Space group C2/m (No. 12)
Asymmetric unit:
Cs: 0.0000 0.0000 0.0000 (multiplicity 2)  6 Te 3.80-3.82
Cs: 0.0000 0.3345 0.0000 (multiplicity 4)  6 Te 3.80-3.82
Tb: 0.0000 0.5000 0.5000 (multiplicity 2)  6 Te 3.13
Tm: 0.0000 0.1668 0.5000 (multiplicity 4)  6 Te 3.10
Te: 0.2256 0.0000 0.6881 (multiplicity 4)  2 Tm 3.10, 1 Tb 3.13
Te: 0.2314 0.3314 0.6885 (multiplicity 8)  2 Tm 3.10, 1 Tb 3.13

crystal system	monoclinic
V	950.5	Å³ per cell
E_tot	-4.28	eV per atom
uncorrected formation energy	-1585.5	kJ/mol of formula units



[2]
A relaxed Pu6CdPd5 crystal. Source: Alexandria, functional PBE.

abc: 5.4067 6.0782 16.1754
angles: 90.00 90.00 90.00
Last column: nearest neighbours and their distance in Å.
Space group Immm (No. 71)
Asymmetric unit:
Pu: 0.0000 0.2377 0.0000 (multiplicity 4)  2 Pu 2.89-3.19, 6 Pd 3.04-3.07, 2 Cd 3.14
Pu: 0.0000 0.2553 0.3262 (multiplicity 8)  2 Pu 2.97-3.10, 7 Pd 3.03-3.18, 1 Cd 3.21
Cd: 0.0000 0.0000 0.5000 (multiplicity 2)  2 Pd 3.04, 8 Pu 3.14-3.21
Pd: 0.0000 0.0000 0.1653 (multiplicity 4)  8 Pu 3.03-3.09, 2 Pd 3.04
Pd: 0.0000 0.5000 0.1603 (multiplicity 4)  2 Pd 3.04, 8 Pu 3.04-3.12
Pd: 0.0000 0.5000 0.5000 (multiplicity 2)  2 Cd 3.04, 8 Pu 3.07-3.18

crystal system	orthorhombic
E_form	-31.02	kJ/mol of atoms
V	531.6	Å³ per cell
E_tot	-9.73	eV per atom



[3]
A relaxed CsNpCl5 crystal. Source: Alexandria, functional PBE.

abc: 12.8907 9.1044 10.7522
angles: 90.00 113.75 90.00
Last column: nearest neighbours and their distance in Å.
Space group C2/c (No. 15)
Asymmetric unit:
Cs: 0.0000 0.0367 0.2500 (multiplicity 4)  7 Cl 3.53-3.69
Np: 0.0000 0.5000 0.0000 (multiplicity 4)  6 Cl 2.55-2.74
Cl: 0.0000 0.4424 0.2500 (multiplicity 4)  2 Np 2.74
Cl: 0.0755 0.2354 0.0052 (multiplicity 8)  1 Np 2.59
Cl: 0.2014 0.3999 0.6121 (multiplicity 8)  1 Np 2.55

crystal system	monoclinic
V	1155.0	Å³ per cell
E_tot	-5.07	eV per atom
uncorrected formation energy	-1199.8	kJ/mol of formula units



[4]
A relaxed RuCSeN crystal. Source: Alexandria, functional PBE.

abc: 11.2127 3.0201 3.6600
angles: 90.00 102.02 90.00
Last column: nearest neighbours and their distance in Å.
Space group Cm (No. 8)
Asymmetric unit:
Ru: 0.0000 0.0000 0.0000 (multiplicity 2)  2 N 1.91-1.98, 1 C 2.06
C: 0.1594 0.0000 0.8057 (multiplicity 2)  1 N 1.35
Se: 0.2783 0.5000 0.8163 (multiplicity 2)  2 C 2.01
N: 0.0592 0.0000 0.5276 (multiplicity 2)  1 C 1.35

crystal system	monoclinic
V	121.2	Å³ per cell
ΔE to the lowest computed polymorph	1.97	eV/f.u.
E_tot	-6.82	eV per atom
uncorrected formation energy	290.7	kJ/mol of formula units



[5]
A relaxed Ce4SmTm3S8 crystal. Source: Alexandria, functional PBE.

abc: 7.8670 7.8670 19.5963
angles: 90.00 90.00 120.00
Last column: nearest neighbours and their distance in Å.
Space group R-3m (No. 166, hexagonal axes)
Asymmetric unit:
Ce: 0.0000 0.0000 0.0000 (multiplicity 3)  6 S 2.81
Ce: 0.0000 0.5000 0.0000 (multiplicity 9)  6 S 2.87
Sm: 0.0000 0.0000 0.5000 (multiplicity 3)  6 S 2.79
Tm: 0.0000 0.5000 0.5000 (multiplicity 9)  6 S 2.73
S: 0.0000 0.0000 0.2441 (multiplicity 6)  3 Tm 2.73, 3 Ce 2.87
S: 0.0073 0.5037 0.7542 (multiplicity 18)  2 Tm 2.73, 1 Sm 2.79, 3 Ce 2.81-2.87

crystal system	trigonal
V	1050.3	Å³ per cell
E_tot	-6.69	eV per atom
uncorrected formation energy	-3101.6	kJ/mol of formula units



[6]
A relaxed LaHf2Ir2 crystal. Source: Alexandria, functional PBE.

abc: 8.1533 8.1533 3.0244
angles: 90.00 90.00 90.00
Last column: nearest neighbours and their distance in Å.
Space group P4/mbm (No. 127)
Asymmetric unit:
La: 0.0000 0.0000 0.0000 (multiplicity 2)  2 La 3.02, 4 Hf 3.14
Hf: 0.1420 0.3580 0.0000 (multiplicity 4)  6 Ir 2.81-2.86, 2 Hf 3.02, 2 La 3.14
Ir: 0.1480 0.6480 0.5000 (multiplicity 4)  6 Hf 2.81-2.86, 2 Ir 3.02

crystal system	tetragonal
E_form	-61.77	kJ/mol of atoms
V	201.0	Å³ per cell
ΔE to the lowest computed polymorph	1.02	eV/f.u.
E_tot	-9.15	eV per atom